Entry 1:
10
Lattice="5.8260 0.0000 0.0000 0.0000 4.7509 0.0000 -1.1253 0.0000 6.9190" Properties=species:S:1:pos:R:3 comment="GGA-PBE AcNdFeN2, optimized geometry" e_form_raw_mev_per_atom=-640 dos_ef_per_ev_cell=2.414 pbc="T T T"
Ac -0.2813 0.5619 1.7297
Ac -0.8439 4.1891 5.1892
Nd 2.0691 2.2498 5.1892
Nd 2.6317 2.5011 1.7297
Fe 2.9130 0.0000 0.0000
Fe 2.3504 0.0000 3.4595
N 0.3680 1.2181 6.7396
N 0.9306 3.5328 3.2801
N 3.7702 1.2181 3.6389
N 4.3328 3.5328 0.1794

=====

Entry 2:
12
Lattice="5.8876 0.0000 0.0000 -2.9438 5.0988 0.0000 0.0000 0.0000 6.8512" Properties=species:S:1:pos:R:3 comment="GGA-PBE Ac3NpFe2N6, optimized geometry" e_form_raw_mev_per_atom=-807 dos_ef_per_ev_cell=7.810 pbc="T T T"
Ac 0.0000 0.0000 0.0000
Ac 0.0000 3.3992 4.6157
Ac 2.9438 1.6996 2.2355
Np 0.0000 0.0000 3.4256
Fe 0.0000 3.3992 1.4310
Fe 2.9438 1.6996 5.4203
N 0.0000 1.7274 2.0791
N -1.4479 4.2351 2.0791
N 1.4959 0.8637 4.7722
N 1.4479 4.2351 2.0791
N 4.3917 0.8637 4.7722
N 2.9438 3.3715 4.7722

=====

Entry 3:
11
Lattice="2.9522 1.7044 5.5603 -2.9522 1.7044 5.5603 0.0000 -3.4089 5.5603" Properties=species:S:1:pos:R:3 comment="GGA-PBE Ac2NpFe2N6, optimized geometry" e_form_raw_mev_per_atom=-714 dos_ef_per_ev_cell=6.274 pbc="T T T"
Ac 0.0000 0.0000 3.6723
Ac 0.0000 0.0000 13.0086
Np 0.0000 0.0000 0.0000
Fe 0.0000 0.0000 7.1231
Fe 0.0000 0.0000 9.5578
N -1.5317 -0.8843 9.6986
N 0.0000 -1.7687 6.9823
N -1.5317 0.8843 6.9823
N 1.5317 -0.8843 9.6986
N 0.0000 1.7687 9.6986
N 1.5317 0.8843 6.9823

=====

Entry 4:
12
Lattice="7.4446 0.0000 0.0000 0.0000 3.4728 0.0000 -1.8662 0.0000 7.2131" Properties=species:S:1:pos:R:3 comment="GGA-PBE AcNpFeN3, optimized geometry" e_form_raw_mev_per_atom=-813 dos_ef_per_ev_cell=14.594 pbc="T T T"
Ac 1.0052 0.8682 1.6041
Ac 4.5732 2.6046 5.6090
Np 0.9482 2.6046 5.9853
Np 4.6302 0.8682 1.2278
Fe -0.4833 0.8682 4.1999
Fe 6.0616 2.6046 3.0132
N -0.5730 0.8682 6.1548
N 0.3949 2.6046 3.6274
N 3.0611 2.6046 0.9936
N 2.5173 0.8682 6.2195
N 5.1834 0.8682 3.5857
N 6.1514 2.6046 1.0583

=====

Entry 5:
10
Lattice="1.9515 -5.3843 0.0000 1.9515 5.3843 0.0000 0.0000 0.0000 6.8798" Properties=species:S:1:pos:R:3 comment="GGA-PBE AcFe2PN, optimized geometry" e_form_raw_mev_per_atom=-652 dos_ef_per_ev_cell=6.932 pbc="T T T"
Ac 1.9515 4.8156 5.1598
Ac 1.9515 -4.8156 1.7199
Fe 1.9515 1.7791 3.8227
Fe 1.9515 1.7791 6.4970
Fe 1.9515 -1.7791 0.3828
Fe 1.9515 -1.7791 3.0571
P 1.9515 2.9517 1.7199
P 1.9515 -2.9517 5.1598
N 1.9515 0.0000 0.0000
N 1.9515 0.0000 3.4399

=====

Entry 6:
16
Lattice="1.7667 -5.9209 0.0000 1.7667 5.9209 0.0000 0.0000 0.0000 11.5517" Properties=species:S:1:pos:R:3 comment="GGA-PBE AcPa2FeN4, optimized geometry" e_form_raw_mev_per_atom=-1305 dos_ef_per_ev_cell=5.168 pbc="T T T"
Ac 1.7667 4.7448 8.6637
Ac 1.7667 -4.7448 2.8879
Pa 1.7667 1.5758 6.4631
Pa 1.7667 1.5758 10.8644
Pa 1.7667 -1.5758 0.6872
Pa 1.7667 -1.5758 5.0886
Fe 1.7667 3.9900 2.8879
Fe 1.7667 -3.9900 8.6637
N 0.0000 0.0000 0.0000
N 0.0000 0.0000 5.7758
N 1.7667 2.8016 1.2747
N 1.7667 2.8016 4.5011
N 1.7667 0.7712 8.6637
N 1.7667 -0.7712 2.8879
N 1.7667 -2.8016 7.0505
N 1.7667 -2.8016 10.2770

=====

Entry 7:
16
Lattice="1.7697 -5.9699 0.0000 1.7697 5.9699 0.0000 0.0000 0.0000 11.9740" Properties=species:S:1:pos:R:3 comment="GGA-PBE AcPm2FeN4, optimized geometry" e_form_raw_mev_per_atom=-961 dos_ef_per_ev_cell=7.303 pbc="T T T"
Ac 1.7697 4.7039 8.9805
Ac 1.7697 -4.7039 2.9935
Pm 1.7697 1.5873 6.5271
Pm 1.7697 1.5873 11.4339
Pm 1.7697 -1.5873 0.5401
Pm 1.7697 -1.5873 5.4469
Fe 1.7697 3.9759 2.9935
Fe 1.7697 -3.9759 8.9805
N 0.0000 0.0000 0.0000
N 0.0000 0.0000 5.9870
N 1.7697 2.7805 1.5669
N 1.7697 2.7805 4.4201
N 1.7697 1.2224 8.9805
N 1.7697 -1.2224 2.9935
N 1.7697 -2.7805 7.5539
N 1.7697 -2.7805 10.4071

=====

Entry 8:
16
Lattice="1.7860 -6.0551 0.0000 1.7860 6.0551 0.0000 0.0000 0.0000 12.1844" Properties=species:S:1:pos:R:3 comment="GGA-PBE AcPr2FeN4, optimized geometry" e_form_raw_mev_per_atom=-870 dos_ef_per_ev_cell=8.220 pbc="T T T"
Ac 1.7860 4.7230 9.1383
Ac 1.7860 -4.7230 3.0461
Pr 1.7860 1.6115 6.6381
Pr 1.7860 1.6115 11.6385
Pr 1.7860 -1.6115 0.5459
Pr 1.7860 -1.6115 5.5463
Fe 1.7860 4.0205 3.0461
Fe 1.7860 -4.0205 9.1383
N 0.0000 0.0000 0.0000
N 0.0000 0.0000 6.0922
N 1.7860 2.7921 1.6329
N 1.7860 2.7921 4.4592
N 1.7860 1.2989 9.1383
N 1.7860 -1.2989 3.0461
N 1.7860 -2.7921 7.7251
N 1.7860 -2.7921 10.5514